[1]
VPd4Au2 | PBE-GGA | optimized geometry

The value obtained for the magnetization is 0.000 μB/f.u. For the density of states at the Fermi level, the calculation gives 6.2 states/eV per cell. As for the energy of formation from the pure elements: 0.52 eV per atom.

The structure belongs to space group I4/mmm (No. 139); the cell edges are 4.622, 4.622 and 13.173 Å and the angles 90.00°, 90.00° and 90.00°. The asymmetric unit holds V at (0.000, 0.000, 0.000), Pd at (0.000, 0.000, 0.174), Pd at (0.000, 0.500, 0.000) and Au at (0.000, 0.000, 0.380).

---

[2]
Be3WAu | PBE-GGA | optimized geometry

The value obtained for the magnetization is 0.001 μB/f.u. For the density of states at the Fermi level, the calculation gives 4.1 states/eV per cell. As for the energy of formation from the pure elements: 1.13 eV per atom.

The structure belongs to space group Pm-3m (No. 221); the cell edges are 4.162, 4.162 and 4.162 Å and the angles 90.00°, 90.00° and 90.00°. The asymmetric unit holds Be at (0.000, 0.000, 0.500), W at (0.500, 0.500, 0.500) and Au at (0.000, 0.000, 0.000).

---

[3]
NaAc3Cd2 | PBE-GGA | optimized geometry

The value obtained for the magnetization is 0.000 μB/f.u. For the density of states at the Fermi level, the calculation gives 12.6 states/eV per cell. As for the energy of formation from the pure elements: -0.13 eV per atom.

The structure belongs to space group Cmmm (No. 65); the cell edges are 5.823, 17.478 and 4.163 Å and the angles 90.00°, 90.00° and 90.00°. The asymmetric unit holds Na at (0.000, 0.000, 0.000), Ac at (0.000, 0.174, 0.500), Ac at (0.000, 0.500, 0.500) and Cd at (0.000, 0.340, 0.000).

---

[4]
CsCaSeCl6 | PBE-GGA | optimized geometry

The value obtained for the magnetization is 1.003 μB/f.u. The value obtained for the formation energy from raw total energies is -1.32 eV/atom.

The structure belongs to space group C2 (No. 5); the cell edges are 7.326, 11.567 and 7.875 Å and the angles 90.00°, 93.51° and 90.00°. The asymmetric unit holds Cs at (0.000, 0.000, 0.000), Ca at (0.000, 0.673, 0.500), Se at (0.000, 0.323, 0.500), Cl at (0.136, 0.474, 0.677), Cl at (0.171, 0.179, 0.671) and Cl at (0.186, 0.794, 0.738).

---

[5]
BaMn2TlBr8 | PBE-GGA | optimized geometry

The value obtained for the magnetization is 9.000 μB/f.u. For the density of states at the Fermi level, the calculation gives 12.9 states/eV per cell. The value obtained for the formation energy from raw total energies is -1.03 eV/atom.

The structure belongs to space group P-3 (No. 147); the cell edges are 7.1304, 7.1304 and 10.5238 Å and the angles 90.00°, 90.00° and 120.00°. The asymmetric unit holds Ba at (0.0000, 0.0000, 0.0000), Mn at (0.3333, 0.6667, 0.2714), Tl at (0.0000, 0.0000, 0.5000), Br at (0.0004, 0.3387, 0.2060) and Br at (0.3333, 0.6667, 0.4972).

---

[6]
ZnIn12Hg6 | PBE-GGA | optimized geometry

The value obtained for the magnetization is 0.000 μB/f.u. For the density of states at the Fermi level, the calculation gives 22.5 states/eV per cell. As for the energy of formation from the pure elements: 0.04 eV per atom.

The structure belongs to space group R-3 (No. 148, hexagonal axes); the cell edges are 14.1397, 14.1397 and 8.6156 Å and the angles 90.00°, 90.00° and 120.00°. The asymmetric unit holds Zn at (0.0000, 0.0000, 0.0000), In at (0.0328, 0.7588, 0.3524), In at (0.0763, 0.5102, 0.6626) and Hg at (0.0161, 0.8781, 0.6770).

---

no.,total DFT energy (no corrections) (eV/atom)
1,-4.6909
2,-4.3555
3,-2.7135
4,-3.2590
5,-4.0309
6,-1.8517